Entry 1:
Compound: LaSc5In4
Source: Alexandria
Functional: PBE-GGA
Structure: relaxed

* total DFT energy (no corrections): -0.18715 hartree per atom
* energy relative to the elements: -339 meV/atom
* space-group type: P4/mmm, No. 123

Lattice parameters (Å, degrees): 3.3520 3.3520 21.3040 90.00 90.00 90.00
Closest atoms and distances in Å follow each position.
Atoms (fractional coordinates):
1 La 0.0000 0.0000 0.0000  4 La 3.35, 8 Sc 3.49
2 Sc 0.5000 0.5000 0.1201  4 In 3.09, 4 Sc 3.35
3 Sc 0.5000 0.5000 0.3090  8 In 3.12-3.13, 4 Sc 3.35
4 Sc 0.5000 0.5000 0.5000  8 In 3.13, 4 Sc 3.35
5 Sc 0.5000 0.5000 0.6910  8 In 3.12-3.13, 4 Sc 3.35
6 Sc 0.5000 0.5000 0.8799  4 In 3.09, 4 Sc 3.35
7 In 0.0000 0.0000 0.2134  8 Sc 3.09-3.13, 4 In 3.35
8 In 0.0000 0.0000 0.4043  8 Sc 3.12-3.13, 4 In 3.35
9 In 0.0000 0.0000 0.5957  8 Sc 3.12-3.13, 4 In 3.35
10 In 0.0000 0.0000 0.7866  8 Sc 3.09-3.13, 4 In 3.35

---

Entry 2:
Compound: LaSc2In
Source: Alexandria
Functional: PBE-GGA
Structure: relaxed

* total DFT energy (no corrections): -0.19238 hartree per atom
* energy relative to the elements: -153 meV/atom
* space-group type: Pmmm, No. 47

Lattice parameters (Å, degrees): 3.6954 5.1493 5.6045 90.00 90.00 90.00
Closest atoms and distances in Å follow each position.
Atoms (fractional coordinates):
1 La 0.0000 0.0000 0.0000  4 Sc 3.17, 4 In 3.36
2 Sc 0.0000 0.5000 0.5000  4 In 3.17, 4 Sc 3.36
3 Sc 0.5000 0.5000 0.0000  4 La 3.17, 4 Sc 3.36
4 In 0.5000 0.0000 0.5000  4 Sc 3.17, 4 La 3.36

---

Respective DOS at the Fermi energy values: 5.6, 6.6 states/eV/f.u..